Entry 1:
{"formula": "Ba2Li2Ag3", "functional": "PBE", "state": "optimized geometry", "lattice": [[2.349, -10.547, 0.000], [2.349, 10.547, 0.000], [0.000, 0.000, 8.169]], "species": ["Ba", "Ba", "Ba", "Ba", "Li", "Li", "Li", "Li", "Ag", "Ag", "Ag", "Ag", "Ag", "Ag"], "fractional_positions": [[0.055, 0.945, 0.750], [0.157, 0.843, 0.250], [0.843, 0.157, 0.750], [0.945, 0.055, 0.250], [0.308, 0.692, 0.063], [0.308, 0.692, 0.437], [0.692, 0.308, 0.563], [0.692, 0.308, 0.937], [0.221, 0.779, 0.750], [0.439, 0.561, 0.572], [0.439, 0.561, 0.928], [0.561, 0.439, 0.072], [0.561, 0.439, 0.428], [0.779, 0.221, 0.250]], "crystal_system": "orthorhombic", "energy_ev_per_cell": -35.355, "formation_energy_mev_per_atom": -207}


Entry 2:
{"formula": "BaLiAg", "functional": "PBE", "state": "optimized geometry", "lattice": [[4.847, 0.000, 0.000], [-2.423, 4.197, 0.000], [0.000, 0.000, 4.669]], "species": ["Ba", "Li", "Ag"], "fractional_positions": [[0.000, 0.000, 0.000], [0.667, 0.333, 0.500], [0.333, 0.667, 0.500]], "crystal_system": "hexagonal", "energy_ev_per_cell": -7.233, "formation_energy_mev_per_atom": -182}


Entry 3:
{"formula": "Ba2LiAg3", "functional": "PBE", "state": "optimized geometry", "lattice": [[0.000, 4.873, 8.416], [4.526, 0.000, 8.416], [4.526, 4.873, 0.000]], "species": ["Ba", "Ba", "Ba", "Ba", "Li", "Li", "Ag", "Ag", "Ag", "Ag", "Ag", "Ag"], "fractional_positions": [[0.244, 0.756, 0.756], [0.250, 0.250, 0.250], [0.750, 0.750, 0.750], [0.756, 0.244, 0.244], [0.333, 0.333, 0.667], [0.667, 0.667, 0.333], [0.170, 0.170, 0.830], [0.172, 0.657, 0.343], [0.343, 0.828, 0.172], [0.657, 0.172, 0.828], [0.828, 0.343, 0.657], [0.830, 0.830, 0.170]], "crystal_system": "orthorhombic", "energy_ev_per_cell": -31.465, "formation_energy_mev_per_atom": -237}


These records have total magnetization values of 0.00; 0.00; 0.00 μB/f.u., in the order they appear.